The following is a GGA-PBE calculation of crystalline AlSbP2 at its relaxed geometry, from Alexandria via LeMat-Bulk.

Results
Total moment ... 0.00 μB per cell
E_form (uncorrected) ... 233.0 meV per atom
Crystal system ... tetragonal
Offset from the most stable computed form ... 303 meV/atom
Calculated density ... 4.73 g cm⁻³
Fermi-level density of states ... 1.662 states/eV/cell

a = 3.287 Å, b = 3.287 Å, c = 6.848 Å
α = 90.00°, β = 90.00°, γ = 90.00°
Positions (direct):
P 0.000 0.000 0.581
P 0.000 0.000 0.919
Sb 0.500 0.500 0.250
Al 0.500 0.500 0.750